[1]
Entry from the Alexandria database: FeP6W3O24 after structural relaxation (PBEsol). Values from VASP.

The structure in Quantum ESPRESSO input format:
```
&SYSTEM
  ibrav = 0, nat = 34, ntyp = 4
/
ATOMIC_SPECIES
O 16.00 O.upf
W 183.84 W.upf
P 30.97 P.upf
Fe 55.84 Fe.upf
ATOMIC_POSITIONS crystal
O 0.982 0.353 0.417
O 0.411 0.783 0.218
O 0.009 0.649 0.583
O 0.931 0.040 0.729
O 0.589 0.411 0.218
O 0.249 0.982 0.417
O 0.759 0.009 0.583
O 0.218 0.430 0.772
O 0.697 0.873 0.920
O 0.066 0.954 0.279
O 0.353 0.249 0.417
O 0.649 0.759 0.583
O 0.430 0.580 0.772
O 0.283 0.136 0.079
O 0.040 0.300 0.729
O 0.954 0.701 0.279
O 0.873 0.510 0.920
O 0.510 0.697 0.920
O 0.701 0.066 0.279
O 0.580 0.218 0.772
O 0.502 0.283 0.079
O 0.783 0.589 0.218
O 0.136 0.502 0.079
O 0.300 0.931 0.729
W 0.358 0.358 0.925
W 0.857 0.857 0.429
W 0.643 0.643 0.072
P 0.752 0.035 0.748
P 0.528 0.250 0.255
P 0.035 0.465 0.748
P 0.967 0.528 0.255
P 0.465 0.752 0.748
P 0.250 0.967 0.255
Fe 0.142 0.142 0.574
CELL_PARAMETERS angstrom
8.615 0.000 0.000
4.307 7.460 0.000
4.307 2.487 7.363
```

Summary:
Magnetic moment (μB/atom): 0.21
Raw formation energy (eV/atom): -2.052

[2]
Entry from the Alexandria database: FeP2WO8 after structural relaxation (PBEsol). Values from VASP.

The structure in Quantum ESPRESSO input format:
```
&SYSTEM
  ibrav = 0, nat = 24, ntyp = 4
/
ATOMIC_SPECIES
O 16.00 O.upf
P 30.97 P.upf
W 183.84 W.upf
Fe 55.84 Fe.upf
ATOMIC_POSITIONS crystal
O 0.183 0.750 0.062
O 0.790 0.750 0.888
O 0.343 0.750 0.558
O 0.760 0.043 0.160
O 0.314 0.250 0.622
O 0.817 0.250 0.938
O 0.220 0.951 0.334
O 0.220 0.549 0.334
O 0.780 0.049 0.666
O 0.780 0.451 0.666
O 0.240 0.543 0.840
O 0.760 0.457 0.160
O 0.686 0.750 0.378
O 0.210 0.250 0.112
O 0.240 0.957 0.840
O 0.657 0.250 0.442
P 0.100 0.750 0.911
P 0.620 0.250 0.592
P 0.900 0.250 0.089
P 0.380 0.750 0.408
W 0.062 0.250 0.778
W 0.938 0.750 0.222
Fe 0.442 0.250 0.275
Fe 0.558 0.750 0.725
CELL_PARAMETERS angstrom
4.857 0.000 0.026
0.000 5.908 0.000
-0.484 0.000 9.942
```

Summary:
Magnetic moment (μB/atom): 0.50
Raw formation energy (eV/atom): -1.762

[3]
Entry from the Alexandria database: FePWO2 after structural relaxation (PBEsol). Values from VASP.

The structure in Quantum ESPRESSO input format:
```
&SYSTEM
  ibrav = 0, nat = 5, ntyp = 4
/
ATOMIC_SPECIES
O 16.00 O.upf
Fe 55.84 Fe.upf
W 183.84 W.upf
P 30.97 P.upf
ATOMIC_POSITIONS crystal
O 0.000 0.500 0.000
O 0.500 0.000 0.000
Fe 0.500 0.500 0.500
W 0.000 0.000 0.000
P 0.000 0.000 0.500
CELL_PARAMETERS angstrom
-2.520 2.476 -1.251
-2.169 -0.705 2.974
2.344 3.691 2.584
```

Summary:
Magnetic moment (μB/atom): 0.66
Raw formation energy (eV/atom): -0.688

[4]
Entry from the Alexandria database: ZnFeP2O after structural relaxation (PBEsol). Values from VASP.

The structure in Quantum ESPRESSO input format:
```
&SYSTEM
  ibrav = 0, nat = 5, ntyp = 4
/
ATOMIC_SPECIES
Fe 55.84 Fe.upf
P 30.97 P.upf
O 16.00 O.upf
Zn 65.41 Zn.upf
ATOMIC_POSITIONS crystal
Fe 0.000 0.000 0.000
P 0.000 0.500 0.000
P 0.000 0.000 0.500
O 0.500 0.000 0.000
Zn 0.500 0.500 0.500
CELL_PARAMETERS angstrom
-1.431 2.875 0.823
-3.138 -0.620 -3.292
-2.701 -2.199 2.989
```

Summary:
Magnetic moment (μB/atom): 0.01
Raw formation energy (eV/atom): -0.022

[5]
Entry from the Alexandria database: FeRePb2O6 after structural relaxation (PBEsol). Values from VASP.

The structure in Quantum ESPRESSO input format:
```
&SYSTEM
  ibrav = 0, nat = 10, ntyp = 4
/
ATOMIC_SPECIES
O 16.00 O.upf
Fe 55.84 Fe.upf
Re 186.21 Re.upf
Pb 207.20 Pb.upf
ATOMIC_POSITIONS crystal
O 0.000 0.240 0.240
O 0.491 0.237 0.237
O 0.000 0.759 0.759
O 0.000 0.745 0.237
O 0.509 0.745 0.745
O 0.000 0.237 0.745
Fe 0.000 0.520 0.520
Re 0.000 0.005 0.005
Pb 0.500 0.782 0.282
Pb 0.500 0.282 0.782
CELL_PARAMETERS angstrom
5.640 -0.043 -0.061
-2.851 4.867 0.061
-2.851 -1.570 4.607
```

Summary:
Magnetic moment (μB/atom): 0.30
Raw formation energy (eV/atom): -1.276

[6]
Entry from the Alexandria database: FeRe2PbO after structural relaxation (PBEsol). Values from VASP.

The structure in Quantum ESPRESSO input format:
```
&SYSTEM
  ibrav = 0, nat = 5, ntyp = 4
/
ATOMIC_SPECIES
Pb 207.20 Pb.upf
O 16.00 O.upf
Re 186.21 Re.upf
Fe 55.84 Fe.upf
ATOMIC_POSITIONS crystal
Pb 0.000 0.000 0.500
O 0.500 0.500 0.500
Re 0.500 0.000 0.000
Re 0.000 0.500 0.000
Fe 0.000 0.000 0.000
CELL_PARAMETERS angstrom
4.360 0.000 0.000
0.000 4.360 0.000
0.000 0.000 4.961
```

Summary:
Magnetic moment (μB/atom): 0.70
Raw formation energy (eV/atom): 1.913